AuBr at its PBEsol-relaxed geometry. Source: the Alexandria database, functional meta-GGA SCAN.

Structure (POSCAR):
```
AuBr
1.0
-3.512 3.512 4.479
3.512 -3.512 4.479
3.512 3.512 -4.479
Au Br
4 4
direct
0.000 0.000 0.000
0.000 0.000 0.500
0.000 0.500 0.000
0.500 0.000 0.500
0.184 0.434 0.750
0.434 0.184 0.250
0.566 0.816 0.750
0.816 0.566 0.250
```

* M_tot: 0.000 μB per atom
* raw formation energy: -0.086 eV per atom
* D(E_F): 0.000 states/eV per atom